# 1
The following is a PBE-GGA calculation of Pm5Sm3Tm3 after structural relaxation, from Alexandria via LeMat-Bulk.

Unit cell a=9.7440 b=9.7440 c=5.5412 alpha=90.00 beta=90.00 gamma=120.00
Element x y z (fractional)
Pm 0.0000 0.7306 0.0000
Pm 0.2694 0.2694 0.0000
Pm 0.3333 0.6667 0.0000
Pm 0.6667 0.3333 0.0000
Pm 0.7306 0.0000 0.0000
Sm 0.0000 0.5623 0.5000
Sm 0.4377 0.4377 0.5000
Sm 0.5623 0.0000 0.5000
Tm 0.0000 0.3682 0.0000
Tm 0.3682 0.0000 0.0000
Tm 0.6318 0.6318 0.0000

Properties
- space group = P-62m
- distance to the lowest polymorph of the same formula (kJ/mol of formula units) = 468
- M_tot (μB per formula unit) = 0.005
- E_tot (eV per atom) = -3.90
- crystal system = hexagonal



# 2
The following is a PBE-GGA calculation of Pm4Sm3Tm4 after structural relaxation, from Alexandria via LeMat-Bulk.

Unit cell a=12.0191 b=12.0191 c=12.0191 alpha=162.76 beta=133.97 gamma=49.51
Element x y z (fractional)
Pm 0.1842 0.0000 0.1842
Pm 0.2429 0.2429 0.0000
Pm 0.7571 0.7571 0.0000
Pm 0.8158 0.0000 0.8158
Sm 0.1108 0.6108 0.5000
Sm 0.5000 0.5000 0.0000
Sm 0.8892 0.3892 0.5000
Tm 0.1813 0.8572 0.3241
Tm 0.4669 0.1428 0.3241
Tm 0.5331 0.8572 0.6759
Tm 0.8187 0.1428 0.6759

Properties
- space group = Immm
- M_tot (μB per formula unit) = 0.000
- E_tot (eV per atom) = -4.49
- crystal system = orthorhombic



# 3
The following is a PBE-GGA calculation of Pm3Sm6Tm after structural relaxation, from Alexandria via LeMat-Bulk.

Unit cell a=11.0494 b=11.0494 c=6.4481 alpha=90.00 beta=90.00 gamma=120.57
Element x y z (fractional)
Pm 0.1138 0.8862 0.5000
Pm 0.2117 0.4422 0.8865
Pm 0.4422 0.2117 0.3865
Pm 0.5578 0.7883 0.8865
Pm 0.7883 0.5578 0.3865
Pm 0.8862 0.1138 0.0000
Sm 0.0245 0.4434 0.2870
Sm 0.1261 0.2133 0.4777
Sm 0.2133 0.1261 0.9777
Sm 0.2243 0.7757 0.0739
Sm 0.4434 0.0245 0.7870
Sm 0.4638 0.5362 0.2922
Sm 0.5362 0.4638 0.7922
Sm 0.5566 0.9755 0.2870
Sm 0.7757 0.2243 0.5739
Sm 0.7867 0.8739 0.4777
Sm 0.8739 0.7867 0.9777
Sm 0.9755 0.5566 0.7870
Tm 0.3070 0.6930 0.5403
Tm 0.6930 0.3070 0.0403

Properties
- space group = Cmc2_1
- distance to the lowest polymorph of the same formula (kJ/mol of formula units) = 0
- M_tot (μB per formula unit) = 0.000
- E_tot (eV per atom) = -4.56
- crystal system = orthorhombic



# 4
The following is a PBE-GGA calculation of PmSmTm after structural relaxation, from Alexandria via LeMat-Bulk.

Unit cell a=6.2289 b=6.2289 c=7.1834 alpha=106.88 beta=106.88 gamma=47.86
Element x y z (fractional)
Pm 0.0015 0.0015 0.2523
Pm 0.9985 0.9985 0.7477
Sm 0.3318 0.3318 0.9153
Sm 0.6682 0.6682 0.0847
Tm 0.3335 0.3335 0.4177
Tm 0.6665 0.6665 0.5823

Properties
- space group = C2/m
- distance to the lowest polymorph of the same formula (kJ/mol of formula units) = 0
- M_tot (μB per formula unit) = 0.000
- E_tot (eV per atom) = -4.63
- crystal system = monoclinic



# 5
The following is a PBE-GGA calculation of PmSmTm after structural relaxation, from Alexandria via LeMat-Bulk.

Unit cell a=4.8702 b=4.8702 c=8.6794 alpha=90.00 beta=90.00 gamma=90.00
Element x y z (fractional)
Pm 0.2500 0.7500 0.0000
Pm 0.7500 0.2500 0.0000
Sm 0.2500 0.2500 0.3050
Sm 0.7500 0.7500 0.6950
Tm 0.2500 0.2500 0.7010
Tm 0.7500 0.7500 0.2990

Properties
- space group = P4/nmm
- distance to the lowest polymorph of the same formula (kJ/mol of formula units) = 61
- M_tot (μB per formula unit) = 0.000
- E_tot (eV per atom) = -4.42
- crystal system = tetragonal



# 6
The following is a PBE-GGA calculation of PmSm3Y2Tm6 after structural relaxation, from Alexandria via LeMat-Bulk.

Unit cell a=6.1550 b=6.1550 c=11.7105 alpha=95.01 beta=95.01 gamma=119.97
Element x y z (fractional)
Pm 0.0000 0.0000 0.0000
Sm 0.1669 0.8331 0.5000
Sm 0.5000 0.5000 0.5000
Sm 0.8331 0.1669 0.5000
Y 0.3333 0.6667 0.0000
Y 0.6667 0.3333 0.0000
Tm 0.0837 0.4167 0.2497
Tm 0.2493 0.2493 0.7503
Tm 0.4167 0.0837 0.2497
Tm 0.5833 0.9163 0.7503
Tm 0.7507 0.7507 0.2497
Tm 0.9163 0.5833 0.7503

Properties
- space group = C2/m
- M_tot (μB per formula unit) = 0.000
- E_tot (eV per atom) = -4.87
- crystal system = monoclinic



# 7
The following is a PBE-GGA calculation of Pm6Sm3YTm2 after structural relaxation, from Alexandria via LeMat-Bulk.

Unit cell a=6.2682 b=6.2682 c=11.9173 alpha=95.02 beta=95.02 gamma=120.00
Element x y z (fractional)
Pm 0.0824 0.4170 0.7532
Pm 0.2484 0.2484 0.2468
Pm 0.4170 0.0824 0.7532
Pm 0.5830 0.9176 0.2468
Pm 0.7516 0.7516 0.7532
Pm 0.9176 0.5830 0.2468
Sm 0.0000 0.0000 0.5000
Sm 0.3332 0.6668 0.5000
Sm 0.6668 0.3332 0.5000
Y 0.5000 0.5000 0.0000
Tm 0.1666 0.8334 0.0000
Tm 0.8334 0.1666 0.0000

Properties
- space group = C2/m
- M_tot (μB per formula unit) = 0.000
- E_tot (eV per atom) = -4.82
- crystal system = monoclinic



# 8
The following is a PBE-GGA calculation of Pm2SmY2Tm2 after structural relaxation, from Alexandria via LeMat-Bulk.

Unit cell a=6.0359 b=6.0359 c=11.8089 alpha=100.92 beta=100.92 gamma=33.69
Element x y z (fractional)
Pm 0.1546 0.1546 0.0742
Pm 0.8454 0.8454 0.9258
Sm 0.5000 0.5000 0.5000
Y 0.2043 0.2043 0.3701
Y 0.7957 0.7957 0.6299
Tm 0.0929 0.0929 0.7715
Tm 0.9071 0.9071 0.2285

Properties
- space group = C2/m
- M_tot (μB per formula unit) = 0.000
- E_tot (eV per atom) = -5.01
- crystal system = monoclinic



# 9
The following is a PBE-GGA calculation of PmSm2Y6Tm3 after structural relaxation, from Alexandria via LeMat-Bulk.

Unit cell a=6.1794 b=6.1794 c=11.8085 alpha=94.99 beta=94.99 gamma=119.95
Element x y z (fractional)
Pm 0.0000 0.0000 0.0000
Sm 0.3335 0.6665 0.0000
Sm 0.6665 0.3335 0.0000
Y 0.0849 0.4184 0.2537
Y 0.2485 0.2485 0.7462
Y 0.4184 0.0849 0.2537
Y 0.5816 0.9151 0.7463
Y 0.7515 0.7515 0.2538
Y 0.9151 0.5816 0.7463
Tm 0.1668 0.8332 0.5000
Tm 0.5000 0.5000 0.5000
Tm 0.8332 0.1668 0.5000

Properties
- space group = C2/m
- M_tot (μB per formula unit) = 0.000
- E_tot (eV per atom) = -5.51
- crystal system = monoclinic



# 10
The following is a PBE-GGA calculation of Pm6Sm2YTm after structural relaxation, from Alexandria via LeMat-Bulk.

Unit cell a=8.9670 b=8.9670 c=9.6991 alpha=93.90 beta=93.90 gamma=118.34
Element x y z (fractional)
Pm 0.0144 0.5699 0.1897
Pm 0.1250 0.7574 0.5543
Pm 0.2426 0.8750 0.9457
Pm 0.2892 0.5017 0.3819
Pm 0.4301 0.9856 0.3103
Pm 0.4983 0.7108 0.1181
Pm 0.5017 0.2892 0.8819
Pm 0.5699 0.0144 0.6897
Pm 0.7108 0.4983 0.6181
Pm 0.7574 0.1250 0.0543
Pm 0.8750 0.2426 0.4457
Pm 0.9856 0.4301 0.8103
Sm 0.1986 0.3033 0.0435
Sm 0.3033 0.1986 0.5435
Sm 0.6967 0.8014 0.4565
Sm 0.8014 0.6967 0.9565
Y 0.0228 0.9772 0.2500
Y 0.9772 0.0228 0.7500
Tm 0.4103 0.5897 0.7500
Tm 0.5897 0.4103 0.2500

Properties
- space group = C2/c
- M_tot (μB per formula unit) = 0.000
- E_tot (eV per atom) = -4.77
- crystal system = monoclinic



# 11
The following is a PBE-GGA calculation of Pm5SmYTm2 after structural relaxation, from Alexandria via LeMat-Bulk.

Unit cell a=10.5707 b=10.5707 c=10.6702 alpha=90.00 beta=90.00 gamma=149.05
Element x y z (fractional)
Pm 0.0157 0.9843 0.5000
Pm 0.2799 0.7201 0.7888
Pm 0.2977 0.7023 0.1849
Pm 0.3898 0.6102 0.5037
Pm 0.4798 0.5202 0.2211
Pm 0.5202 0.4798 0.7211
Pm 0.6102 0.3898 0.0037
Pm 0.7023 0.2977 0.6849
Pm 0.7201 0.2799 0.2888
Pm 0.9843 0.0157 0.0000
Sm 0.2003 0.7997 0.4900
Sm 0.7997 0.2003 0.9900
Y 0.4099 0.5901 0.9358
Y 0.5901 0.4099 0.4358
Tm 0.1112 0.8888 0.2173
Tm 0.1152 0.8848 0.7935
Tm 0.8848 0.1152 0.2935
Tm 0.8888 0.1112 0.7173

Properties
- space group = Cmc2_1
- M_tot (μB per formula unit) = 0.000
- E_tot (eV per atom) = -4.72
- crystal system = orthorhombic



# 12
The following is a PBE-GGA calculation of PmSm6Y2Tm after structural relaxation, from Alexandria via LeMat-Bulk.

Unit cell a=8.9112 b=8.9112 c=9.5368 alpha=93.14 beta=93.14 gamma=116.95
Element x y z (fractional)
Pm 0.0306 0.9694 0.7500
Pm 0.9694 0.0306 0.2500
Sm 0.0083 0.5612 0.6863
Sm 0.1183 0.7599 0.0568
Sm 0.2401 0.8817 0.4432
Sm 0.2922 0.5172 0.8838
Sm 0.4388 0.9917 0.8137
Sm 0.4828 0.7078 0.6162
Sm 0.5172 0.2922 0.3838
Sm 0.5612 0.0083 0.1863
Sm 0.7078 0.4828 0.1162
Sm 0.7599 0.1183 0.5568
Sm 0.8817 0.2401 0.9432
Sm 0.9917 0.4388 0.3137
Y 0.2041 0.3021 0.5491
Y 0.3021 0.2041 0.0491
Y 0.6979 0.7959 0.9509
Y 0.7959 0.6979 0.4509
Tm 0.4113 0.5887 0.2500
Tm 0.5887 0.4113 0.7500

Properties
- space group = C2/c
- M_tot (μB per formula unit) = 0.000
- E_tot (eV per atom) = -4.93
- crystal system = monoclinic



# 13
The following is a PBE-GGA calculation of Pm6SmY2Tm3 after structural relaxation, from Alexandria via LeMat-Bulk.

Unit cell a=6.2420 b=6.2420 c=11.8234 alpha=95.03 beta=95.03 gamma=119.99
Element x y z (fractional)
Pm 0.0845 0.4175 0.7532
Pm 0.2486 0.2486 0.2471
Pm 0.4175 0.0845 0.7532
Pm 0.5825 0.9155 0.2468
Pm 0.7514 0.7514 0.7529
Pm 0.9155 0.5825 0.2468
Sm 0.0000 0.0000 0.5000
Y 0.3333 0.6667 0.5000
Y 0.6667 0.3333 0.5000
Tm 0.1667 0.8333 0.0000
Tm 0.5000 0.5000 0.0000
Tm 0.8333 0.1667 0.0000

Properties
- space group = C2/m
- M_tot (μB per formula unit) = 0.000
- E_tot (eV per atom) = -4.95
- crystal system = monoclinic



# 14
The following is a PBE-GGA calculation of Pm3Sm6YTm2 after structural relaxation, from Alexandria via LeMat-Bulk.

Unit cell a=6.2551 b=6.2551 c=11.9282 alpha=95.01 beta=95.01 gamma=119.99
Element x y z (fractional)
Pm 0.0000 0.0000 0.0000
Pm 0.3332 0.6668 0.0000
Pm 0.6668 0.3332 0.0000
Sm 0.0828 0.4174 0.2539
Sm 0.2480 0.2480 0.7461
Sm 0.4174 0.0828 0.2539
Sm 0.5826 0.9172 0.7461
Sm 0.7520 0.7520 0.2539
Sm 0.9172 0.5826 0.7461
Y 0.5000 0.5000 0.5000
Tm 0.1666 0.8334 0.5000
Tm 0.8334 0.1666 0.5000

Properties
- space group = C2/m
- M_tot (μB per formula unit) = 0.000
- E_tot (eV per atom) = -4.81
- crystal system = monoclinic



# 15
The following is a PBE-GGA calculation of Pm2SmYTm2 after structural relaxation, from Alexandria via LeMat-Bulk.

Unit cell a=6.5536 b=18.0366 c=3.3992 alpha=90.00 beta=90.00 gamma=90.00
Element x y z (fractional)
Pm 0.2236 0.1882 0.0000
Pm 0.2764 0.6882 0.5000
Pm 0.7236 0.3118 0.5000
Pm 0.7764 0.8118 0.0000
Sm 0.0000 0.5000 0.0000
Sm 0.5000 0.0000 0.5000
Y 0.0000 0.0000 0.0000
Y 0.5000 0.5000 0.5000
Tm 0.2228 0.3538 0.5000
Tm 0.2772 0.8538 0.0000
Tm 0.7228 0.1462 0.0000
Tm 0.7772 0.6462 0.5000

Properties
- space group = Pnnm
- M_tot (μB per formula unit) = 0.000
- E_tot (eV per atom) = -4.67
- crystal system = orthorhombic



# 16
The following is a PBE-GGA calculation of Pm3Sm2YTm6 after structural relaxation, from Alexandria via LeMat-Bulk.

Unit cell a=6.1754 b=6.1754 c=11.7070 alpha=95.03 beta=95.03 gamma=119.98
Element x y z (fractional)
Pm 0.0000 0.0000 0.0000
Pm 0.3333 0.6667 0.0000
Pm 0.6667 0.3333 0.0000
Sm 0.1665 0.8335 0.5000
Sm 0.8335 0.1665 0.5000
Y 0.5000 0.5000 0.5000
Tm 0.0830 0.4167 0.2508
Tm 0.2497 0.2497 0.7494
Tm 0.4167 0.0830 0.2508
Tm 0.5833 0.9170 0.7492
Tm 0.7503 0.7503 0.2506
Tm 0.9170 0.5833 0.7492

Properties
- space group = C2/m
- M_tot (μB per formula unit) = 0.000
- E_tot (eV per atom) = -4.73
- crystal system = monoclinic



# 17
The following is a PBE-GGA calculation of Pm2Sm2Y4Tm after structural relaxation, from Alexandria via LeMat-Bulk.

Unit cell a=9.5793 b=9.5793 c=9.6412 alpha=115.22 beta=115.22 gamma=21.80
Element x y z (fractional)
Pm 0.1650 0.1650 0.4992
Pm 0.8350 0.8350 0.5008
Sm 0.3521 0.3521 0.8353
Sm 0.6479 0.6479 0.1647
Y 0.0191 0.0191 0.8321
Y 0.3151 0.3151 0.1662
Y 0.6849 0.6849 0.8338
Y 0.9809 0.9809 0.1679
Tm 0.5000 0.5000 0.5000

Properties
- space group = C2/m
- M_tot (μB per formula unit) = 0.000
- E_tot (eV per atom) = -5.47
- crystal system = monoclinic



# 18
The following is a PBE-GGA calculation of PmSm2Y2Tm2 after structural relaxation, from Alexandria via LeMat-Bulk.

Unit cell a=6.1151 b=6.1151 c=11.8053 alpha=107.86 beta=107.86 gamma=33.44
Element x y z (fractional)
Pm 0.0000 0.0000 0.0000
Sm 0.3280 0.3280 0.4158
Sm 0.6720 0.6720 0.5842
Y 0.4509 0.4509 0.7278
Y 0.5491 0.5491 0.2722
Tm 0.2266 0.2266 0.8631
Tm 0.7734 0.7734 0.1369

Properties
- space group = C2/m
- M_tot (μB per formula unit) = 0.000
- E_tot (eV per atom) = -5.06
- crystal system = monoclinic



# 19
The following is a PBE-GGA calculation of Pm4SmY2Tm2 after structural relaxation, from Alexandria via LeMat-Bulk.

Unit cell a=8.0443 b=8.0443 c=8.0376 alpha=107.36 beta=107.36 gamma=36.76
Element x y z (fractional)
Pm 0.0548 0.0548 0.3302
Pm 0.2776 0.2776 0.6690
Pm 0.7224 0.7224 0.3310
Pm 0.9452 0.9452 0.6698
Sm 0.5000 0.5000 0.0000
Y 0.3883 0.3883 0.3315
Y 0.6117 0.6117 0.6685
Tm 0.1680 0.1680 0.0000
Tm 0.8320 0.8320 0.0000

Properties
- space group = C2/m
- M_tot (μB per formula unit) = 0.000
- E_tot (eV per atom) = -5.05
- crystal system = monoclinic



# 20
The following is a PBE-GGA calculation of Pm2Sm2YTm4 after structural relaxation, from Alexandria via LeMat-Bulk.

Unit cell a=9.5068 b=9.5068 c=9.5678 alpha=115.32 beta=115.32 gamma=21.81
Element x y z (fractional)
Pm 0.1658 0.1658 0.0022
Pm 0.8342 0.8342 0.9978
Sm 0.3528 0.3528 0.3371
Sm 0.6472 0.6472 0.6629
Y 0.5000 0.5000 0.0000
Tm 0.0197 0.0197 0.3340
Tm 0.3150 0.3150 0.6633
Tm 0.6850 0.6850 0.3367
Tm 0.9803 0.9803 0.6660

Properties
- space group = C2/m
- M_tot (μB per formula unit) = 0.000
- E_tot (eV per atom) = -4.81
- crystal system = monoclinic